8
Lattice="6.968 0.000 0.000 0.000 6.968 0.000 3.484 3.484 2.939" Properties=species:S:1:pos:R:3 comment="LaVFe2 (PBE-GGA, optimized geometry)" dos_at_fermi_per_ev_fu=5.37 total_energy_ev_per_atom=-7.154 vol_a3_per_cell=142.7 spacegroup="No. 122" pbc="T T T"
La 0.000 0.000 0.000
La 6.968 3.484 1.469
Fe 4.825 1.742 0.735
Fe 2.142 5.226 0.735
Fe 5.226 5.626 2.204
Fe 8.710 8.309 2.204
V 3.484 3.484 0.000
V 3.484 6.968 1.469

---

36
Lattice="-1.170 4.358 -3.888 3.877 -3.983 -5.631 -12.189 -6.596 -3.726" Properties=species:S:1:pos:R:3 comment="Tc2O7 (PBE-GGA, optimized geometry)" dos_at_fermi_per_ev_fu=0.00 total_energy_ev_per_atom=-7.416 vol_a3_per_cell=676.3 spacegroup="No. 61" pbc="T T T"
Tc -3.896 -1.031 -7.361
Tc 0.372 -1.381 -4.477
Tc -4.337 -4.896 -10.490
Tc -11.102 -5.136 -4.162
Tc -5.585 -5.191 -5.883
Tc -9.854 -4.840 -8.768
Tc -5.145 -1.326 -2.755
Tc 1.620 -1.086 -9.083
O -3.313 -2.641 -7.332
O 0.304 -1.691 -2.793
O -7.743 -0.385 -6.419
O -8.211 -7.726 -9.945
O -6.169 -3.581 -5.913
O -9.786 -4.531 -10.452
O -1.738 -5.837 -6.825
O -1.271 1.505 -3.299
O 0.000 0.000 0.000
O -6.679 -1.119 -3.807
O 1.354 0.187 -4.759
O -4.156 -5.290 -4.678
O 0.829 -0.816 -7.589
O -4.109 -2.506 -3.436
O -10.617 -3.513 -8.004
O -5.067 -5.608 -7.460
O -10.311 -5.405 -5.655
O -5.373 -3.715 -9.809
O 1.135 -2.709 -5.241
O -4.415 -0.614 -5.785
O -3.425 2.615 -4.662
O -0.419 -3.838 -8.237
O -8.264 -4.992 -8.171
O -6.856 -6.229 -5.419
O -6.057 -8.837 -8.583
O -9.063 -2.384 -5.008
O -1.218 -1.230 -5.074
O -2.626 0.007 -7.825

---

5
Lattice="-1.844 1.044 5.370 3.385 -4.234 1.985 3.125 2.751 0.539" Properties=species:S:1:pos:R:3 comment="BaZrTe2H (PBE-GGA, optimized geometry)" dos_at_fermi_per_ev_fu=3.42 total_energy_ev_per_atom=-4.949 relative_energy_ev_per_atom=0.000 vol_a3_per_cell=139.9 spacegroup="No. 123" pbc="T T T"
H 1.563 1.375 0.269
Te 1.692 -2.117 0.993
Te -0.922 0.522 2.685
Ba 2.333 -0.220 3.947
Zr 0.000 0.000 0.000

---

5
Lattice="4.659 0.000 0.000 0.000 4.659 0.000 0.000 0.000 4.659" Properties=species:S:1:pos:R:3 comment="HfMnAs3 (PBE-GGA, optimized geometry)" dos_at_fermi_per_ev_fu=4.26 total_energy_ev_per_atom=-6.284 relative_energy_ev_per_atom=0.000 vol_a3_per_cell=101.1 spacegroup="No. 221" pbc="T T T"
As 0.000 2.329 0.000
As 0.000 0.000 2.329
As 2.329 0.000 0.000
Mn 0.000 0.000 0.000
Hf 2.329 2.329 2.329

---

11
Lattice="-1.454 -4.012 2.072 2.169 -3.247 -4.765 7.578 2.594 4.913" Properties=species:S:1:pos:R:3 comment="Sc8Sn2Ge (PBE-GGA, optimized geometry)" dos_at_fermi_per_ev_fu=12.61 total_energy_ev_per_atom=-6.172 vol_a3_per_cell=255.5 spacegroup="No. 12" pbc="T T T"
Sc 6.804 -1.248 2.359
Sc 1.354 -1.847 2.805
Sc 4.539 -3.888 1.088
Sc 6.356 -2.180 5.671
Sc 3.753 -0.777 1.131
Sc 6.939 -2.818 -0.586
Sc 1.488 -3.416 -0.141
Sc 1.937 -2.485 -3.452
Sn 4.234 -2.438 3.681
Sn 4.059 -2.226 -1.462
Ge -0.727 -2.006 1.036

---

24
Lattice="-0.135 -7.004 0.769 5.343 -0.644 -4.925 7.802 0.404 5.046" Properties=species:S:1:pos:R:3 comment="InTeBrO3 (PBE-GGA, optimized geometry)" dos_at_fermi_per_ev_fu=0.00 total_energy_ev_per_atom=-4.887 vol_a3_per_cell=463.7 spacegroup="No. 14" pbc="T T T"
In 4.090 -5.315 0.751
In 6.248 -1.608 2.601
In 8.920 -1.929 0.138
In 6.762 -5.636 -1.712
Te 5.435 -1.803 -0.957
Te 10.253 -5.408 -0.655
Te 7.575 -5.440 1.847
Te 2.757 -1.835 1.544
Br 4.074 -5.238 -1.984
Br 11.622 -1.583 0.329
Br 8.936 -2.006 2.873
Br 1.388 -5.660 0.560
O 6.730 -2.048 0.482
O 3.600 -5.266 2.914
O 6.279 -5.196 0.408
O 9.409 -1.977 -2.024
O 6.614 -0.731 -2.026
O 9.120 -4.086 0.151
O 6.396 -6.513 2.915
O 3.890 -3.158 0.739
O 4.423 -0.469 -0.019
O 5.968 -3.705 3.070
O 8.586 -6.775 0.909
O 7.042 -3.538 -2.180

---

10
Lattice="-3.986 -0.140 -1.117 -0.393 -3.679 1.863 -2.537 4.567 8.482" Properties=species:S:1:pos:R:3 comment="Ca2MnNi3As4 (PBE-GGA, optimized geometry)" dos_at_fermi_per_ev_fu=4.50 total_energy_ev_per_atom=-5.555 vol_a3_per_cell=170.9 spacegroup="No. 115" pbc="T T T"
Ca -2.613 1.045 1.512
Ca -2.114 1.613 7.343
Mn -3.458 0.374 4.614
Ni -1.268 2.284 4.241
Ni -4.221 3.940 6.890
Ni -0.506 -1.283 1.965
As -2.190 -1.909 0.373
As 0.000 0.000 0.000
As -3.615 2.850 4.865
As -1.111 -0.192 3.991

---

80
Lattice="-9.044 -3.172 -4.533 -0.897 -0.693 10.541 1.983 10.052 -2.724" Properties=species:S:1:pos:R:3 comment="Pa3Mn5N12 (PBE-GGA, optimized geometry)" dos_at_fermi_per_ev_fu=9.73 total_energy_ev_per_atom=-9.459 vol_a3_per_cell=917.3 spacegroup="No. 230" pbc="T T T"
Pa -6.871 -1.382 0.213
Pa -8.338 -2.039 3.599
Pa -2.825 4.573 4.503
Pa -1.630 2.890 -0.837
Pa -7.530 -0.349 -3.329
Pa -3.456 0.890 4.207
Pa -4.502 5.297 -0.923
Pa -0.428 6.536 6.613
Pa -6.329 3.297 4.121
Pa -5.133 1.614 -1.219
Pa 0.380 8.226 -0.315
Pa -1.087 7.569 3.071
Mn -0.971 1.857 2.705
Mn -0.449 -0.347 5.270
Mn 0.000 0.000 0.000
Mn -3.368 -0.106 0.595
Mn -3.531 3.440 -3.628
Mn -4.970 -1.933 3.004
Mn -1.060 2.853 6.317
Mn -5.160 6.330 -4.466
Mn -6.600 0.957 2.167
Mn -2.017 6.263 -2.425
Mn -5.942 -0.076 5.709
Mn -3.979 3.093 1.642
Mn -4.522 -1.586 -2.266
Mn 0.991 5.026 -1.362
Mn -1.358 5.230 1.117
Mn -2.798 -0.143 7.750
Mn 0.543 4.679 3.908
Mn -6.899 3.334 -3.033
Mn -4.590 6.293 2.689
Mn -6.987 4.330 0.579
N -6.422 -2.104 -1.938
N -2.560 2.623 2.964
N -8.603 -0.375 -1.281
N -4.647 -0.551 -0.564
N -4.514 4.528 2.923
N -9.036 -1.699 1.420
N -2.761 2.670 5.817
N -1.510 0.277 8.908
N -4.978 4.260 5.733
N -6.512 -0.805 2.423
N -6.897 0.922 0.410
N -8.166 -3.009 5.692
N -0.715 4.357 5.425
N -3.605 -0.677 2.267
N -0.772 2.912 8.076
N -2.725 4.637 -2.249
N -0.475 1.658 1.005
N -4.741 -0.960 4.732
N -7.638 -0.243 5.189
N -1.291 0.348 3.600
N -2.702 6.145 6.442
N -5.175 1.890 2.694
N -7.817 1.822 3.141
N -5.673 6.509 -2.768
N -2.783 4.297 0.590
N -0.141 4.365 0.143
N -2.285 -0.322 6.052
N -0.320 6.430 -1.905
N -5.257 0.042 -3.158
N -6.667 5.839 -0.316
N -3.217 7.147 -1.448
N -5.233 1.550 5.533
N -7.484 4.528 2.279
N -7.187 3.275 -4.792
N -7.244 1.830 -2.141
N 0.207 9.195 -2.408
N -4.354 6.864 1.017
N -2.981 1.927 -2.449
N -1.447 6.991 0.861
N -1.061 5.265 2.874
N -6.448 5.909 -5.624
N -5.198 3.517 -2.533
N -3.311 6.737 3.848
N 1.078 7.886 1.864
N -3.444 1.659 0.361
N 0.645 6.562 4.565
N -5.399 3.564 0.320
N -1.537 8.291 5.222

---

Question: Number 3 is which compound?
Answer: BaZrTe2H